La10C4I15: relaxed, GGA-PBE.

a = 9.9486 Å, b = 10.8637 Å, c = 11.9946 Å
α = 93.68°, β = 114.45°, γ = 109.26°
Closest atoms and distances in Å follow each position.
Space group P-1 (No. 2)
Symmetry-distinct sites (fractional):
1 La 0.0287 0.1890 0.1030 x2  1 C 2.36
2 La 0.0992 0.5410 0.3421 x2  1 C 2.36
3 La 0.1565 0.2556 0.8358 x2  2 C 2.64
4 La 0.2046 0.5670 0.0440 x2  4 C 2.76-2.83
5 La 0.2788 0.8839 0.2568 x2  2 C 2.66-2.67
6 C 0.0182 0.6993 0.0631 x2  1 C 1.41
7 C 0.0480 0.6381 0.1663 x2  1 C 1.41
8 I 0.0932 0.0303 0.3495 x2  3 La 3.20-3.46
9 I 0.1394 0.3696 0.5871 x2  3 La 3.22-3.53
10 I 0.2142 0.7322 0.8221 x2  3 La 3.23-3.32
11 I 0.2911 0.0930 0.0617 x2  4 La 3.31-3.38
12 I 0.3504 0.4458 0.2953 x2  3 La 3.23-3.33
13 I 0.3967 0.8133 0.5318 x2  3 La 3.24-3.58
14 I 0.4459 0.1683 0.7816 x2  2 La 3.17-3.37
15 I 0.5000 0.5000 0.0000 x1  4 La 3.22-3.48

Properties
- Uncorrected formation energy: -1.275 eV per atom
- Final energy: -146.4 eV/f.u.
- Magnetic moment: 0.00 μB per formula unit